Record 1
This record from Alexandria describes a relaxed structure of TeOs2Se. The functional is GGA-PBE.

Raw formation energy (eV per atom): 1.11
Crystal system: tetragonal
E_tot (eV for the cell shown): -24.6
Space-group type: I-4m2, No. 119

extended XYZ file:
```
4
Lattice="5.251 0.000 0.000 2.329 4.706 0.000 -3.790 -2.353 2.770" Properties=species:S:1:pos:R:3 pbc="T T T"
Os 0.000 0.000 0.000
Os 1.165 2.353 1.385
Se 3.790 2.353 0.000
Te 2.625 0.000 1.385
```


Record 2
This record from Alexandria describes a relaxed structure of CsSmCo2Cl8. The functional is GGA-PBE.

Raw formation energy (eV per atom): -1.37
Crystal system: trigonal
E_tot (eV for the cell shown): -51.0
Space-group type: R-3, No. 148

extended XYZ file:
```
12
Lattice="-0.577 5.584 -3.407 -1.605 -0.188 -6.365 -10.508 2.284 -0.805" Properties=species:S:1:pos:R:3 pbc="T T T"
Cs -6.345 3.840 -5.289
Sm 0.000 0.000 0.000
Co -3.009 1.912 -2.686
Co -9.681 5.768 -7.892
Cl -5.130 2.017 -2.154
Cl -2.475 3.711 -3.990
Cl -7.560 5.663 -8.424
Cl -3.199 5.561 -7.245
Cl -9.491 2.120 -3.333
Cl -3.362 1.752 -7.139
Cl -9.328 5.928 -3.439
Cl -10.215 3.969 -6.588
```


Record 3
This record from Alexandria describes a relaxed structure of PmMoN2. The functional is GGA-PBE.

Raw formation energy (eV per atom): -1.00
Crystal system: orthorhombic
E_tot (eV for the cell shown): -144.9
Space-group type: Pnma, No. 62

extended XYZ file:
```
16
Lattice="-0.539 -2.965 -1.337 4.899 -2.006 2.474 -5.602 -2.918 8.726" Properties=species:S:1:pos:R:3 pbc="T T T"
Pm -0.834 -2.806 0.460
Pm -0.408 -5.083 9.402
Pm 0.444 -4.419 3.522
Pm -1.685 -3.470 6.341
Mo 2.102 -2.140 1.867
Mo -2.109 -2.055 3.374
Mo -3.344 -5.748 7.996
Mo 0.868 -5.833 6.488
N -1.939 -4.144 3.873
N 0.698 -3.745 5.990
N 3.188 -3.751 0.938
N -4.430 -4.137 8.925
N -3.784 -4.732 5.919
N 0.129 -2.135 2.650
N -1.370 -5.753 7.212
N 2.542 -3.157 3.944
```


Record 4
This record from Alexandria describes a relaxed structure of ScBe2In. The functional is GGA-PBE.

Formation enthalpy at 0 K (eV per atom): 0.096
Crystal system: monoclinic
E_tot (eV for the cell shown): -16.1
Space-group type: C2/m, No. 12

extended XYZ file:
```
4
Lattice="4.080 -0.003 0.000 2.033 3.537 0.000 2.035 1.177 4.472" Properties=species:S:1:pos:R:3 pbc="T T T"
Sc 2.037 1.178 1.118
Be 2.041 1.180 3.964
Be 4.068 2.352 2.743
In 6.111 3.533 3.353
```


Q: Which of these has the highest E_tot?
A: ScBe2In